The following is a PBE calculation of an optimized crystal structure of NdZn6Ag2, from Alexandria.

a = 4.065 Å, b = 7.333 Å, c = 7.333 Å
α = 54.81°, β = 73.91°, γ = 73.91°
Element x y z (fractional)
1 Nd 0.000 0.000 0.000
2 Zn 0.500 0.321 0.679
3 Ag 0.879 0.621 0.621
4 Zn 0.310 0.391 0.989
5 Zn 0.310 0.989 0.391
6 Zn 0.690 0.609 0.011
7 Ag 0.121 0.379 0.379
8 Zn 0.500 0.679 0.321
9 Zn 0.690 0.011 0.609

## Properties
The calculation puts the final energy at -2.12 eV per atom. The calculation puts the formation energy from the elements at -104 meV per atom. The symmetry is Immm, No. 71. The calculation puts the density of states at the Fermi level at 0.39 states/eV per atom. As for the density: 7.36 g/cm3.



The following is a PBE calculation of an optimized crystal structure of Nd6ZnAg3, from Alexandria.

a = 5.170 Å, b = 9.280 Å, c = 12.173 Å
α = 104.79°, β = 90.00°, γ = 90.00°
Element x y z (fractional)
1 Nd 0.250 0.877 0.355
2 Nd 0.250 0.280 0.488
3 Ag 0.750 0.651 0.257
4 Ag 0.250 0.542 0.368
5 Nd 0.750 0.339 0.293
6 Ag 0.250 0.349 0.743
7 Ag 0.750 0.458 0.632
8 Nd 0.750 0.482 0.892
9 Zn 0.250 0.944 0.628
10 Zn 0.750 0.056 0.372
11 Nd 0.750 0.866 0.117
12 Nd 0.750 0.123 0.645
13 Ag 0.250 0.777 0.971
14 Nd 0.250 0.122 0.157
15 Nd 0.250 0.134 0.883
16 Nd 0.750 0.878 0.843
17 Ag 0.750 0.223 0.029
18 Nd 0.250 0.518 0.108
19 Nd 0.750 0.720 0.512
20 Nd 0.250 0.661 0.707

## Properties
The calculation puts the final energy at -4.01 eV per atom. The calculation puts the formation energy from the elements at -163 meV per atom. The symmetry is P2_1/m, No. 11. The calculation puts the density of states at the Fermi level at 0.98 states/eV per atom. As for the density: 7.38 g/cm3.



The following is a PBE calculation of an optimized crystal structure of Nd7Zn2Ag2, from Alexandria.

a = 6.704 Å, b = 7.967 Å, c = 6.704 Å
α = 90.00°, β = 110.69°, γ = 90.00°
Element x y z (fractional)
1 Ag 0.292 0.000 0.708
2 Nd 0.500 0.709 0.000
3 Ag 0.708 0.000 0.292
4 Nd 0.000 0.709 0.500
5 Zn 0.164 0.500 0.164
6 Nd 0.000 0.291 0.500
7 Nd 0.500 0.274 0.500
8 Nd 0.000 0.000 0.000
9 Nd 0.500 0.726 0.500
10 Zn 0.836 0.500 0.836
11 Nd 0.500 0.291 0.000

## Properties
The calculation puts the final energy at -3.73 eV per atom. The calculation puts the formation energy from the elements at 52 meV per atom. The symmetry is Cmmm, No. 65. The calculation puts the density of states at the Fermi level at 1.28 states/eV per atom. As for the density: 6.72 g/cm3.